1.
! PmNdPuTl (GGA-PBE, optimized geometry); values from VASP
! E_tot: -6.46 eV per atom
! space group: F-43m (216)
! V: 30.1 Å³/atom
! calculated density: 10.2 g/cm3
! formation energy: 0.094 eV per atom
&SYSTEM
  ibrav = 0, nat = 4, ntyp = 4
/
ATOMIC_SPECIES
Pu 244.00 Pu.upf
Tl 204.38 Tl.upf
Pm 145.00 Pm.upf
Nd 144.24 Nd.upf
CELL_PARAMETERS angstrom
-4.878 0.452 -2.598
-0.552 -1.841 -5.202
-3.023 -4.533 -1.031
ATOMIC_POSITIONS crystal
Pu 0.000 0.000 0.000
Tl 0.250 0.250 0.250
Pm 0.750 0.750 0.750
Nd 0.500 0.500 0.500

---

2.
! Li2GeAsN (GGA-PBE, optimized geometry); values from VASP
! E_tot: -4.53 eV per atom
! space group: P4mm (99)
! ΔE_f (raw): -0.249 eV per atom
! V: 15.1 Å³/atom
! calculated density: 3.9 g/cm3
&SYSTEM
  ibrav = 0, nat = 5, ntyp = 4
/
ATOMIC_SPECIES
Ge 72.64 Ge.upf
Li 6.94 Li.upf
N 14.01 N.upf
As 74.92 As.upf
CELL_PARAMETERS angstrom
-3.423 -0.066 1.204
0.807 -2.818 2.140
1.417 3.618 4.229
ATOMIC_POSITIONS crystal
Ge 0.000 0.000 0.400
Li 0.000 0.500 0.964
Li 0.500 0.000 0.964
N 0.000 0.000 0.091
As 0.500 0.500 0.581

---

3.
! MgZn2Si (GGA-PBE, optimized geometry); values from VASP
! E_tot: -2.23 eV per atom
! space group: P4/mmm (123)
! E above lowest polymorph: 0.103 eV per atom
! ΔE_f (raw): 0.166 eV per atom
! V: 17.0 Å³/atom
! calculated density: 4.5 g/cm3
&SYSTEM
  ibrav = 0, nat = 4, ntyp = 3
/
ATOMIC_SPECIES
Zn 65.41 Zn.upf
Si 28.09 Si.upf
Mg 24.30 Mg.upf
CELL_PARAMETERS angstrom
3.085 0.000 0.000
0.000 3.085 0.000
0.000 0.000 7.129
ATOMIC_POSITIONS crystal
Zn 0.000 0.000 0.978
Zn 0.000 0.000 0.522
Si 0.500 0.500 0.750
Mg 0.500 0.500 0.250

---

4.
! SrMgZrRh2 (GGA-PBE, optimized geometry); values from VASP
! E_tot: -3.80 eV per atom
! space group: P4/mmm (123)
! V: 25.4 Å³/atom
! calculated density: 5.3 g/cm3
! formation energy: 1.502 eV per atom
&SYSTEM
  ibrav = 0, nat = 5, ntyp = 4
/
ATOMIC_SPECIES
Zr 91.22 Zr.upf
Mg 24.30 Mg.upf
Sr 87.62 Sr.upf
Rh 102.91 Rh.upf
CELL_PARAMETERS angstrom
-0.913 4.806 -0.734
-4.083 -0.287 3.196
2.917 1.139 3.830
ATOMIC_POSITIONS crystal
Zr 0.000 0.500 0.000
Mg 0.500 0.500 0.500
Sr 0.000 0.000 0.000
Rh 0.000 0.000 0.500
Rh 0.500 0.000 0.000

---

5.
! Tl9BiSe6 (GGA-PBE, optimized geometry); values from VASP
! E_tot: -3.26 eV per atom
! space group: I4/m (87)
! ΔE_f (raw): -0.380 eV per atom
! V: 30.7 Å³/atom
! calculated density: 8.5 g/cm3
&SYSTEM
  ibrav = 0, nat = 16, ntyp = 3
/
ATOMIC_SPECIES
Se 78.96 Se.upf
Tl 204.38 Tl.upf
Bi 208.98 Bi.upf
CELL_PARAMETERS angstrom
-2.156 -5.803 6.532
-6.114 5.380 3.830
-0.190 -2.177 -8.730
ATOMIC_POSITIONS crystal
Se 0.726 0.726 0.000
Se 0.352 0.819 0.171
Se 0.819 0.648 0.468
Se 0.274 0.274 0.000
Se 0.181 0.352 0.532
Se 0.648 0.181 0.829
Tl 0.484 0.685 0.477
Tl 0.000 0.000 0.000
Tl 0.208 0.007 0.523
Tl 0.993 0.516 0.201
Tl 0.792 0.993 0.477
Tl 0.685 0.208 0.201
Tl 0.007 0.484 0.799
Tl 0.516 0.315 0.523
Tl 0.315 0.792 0.799
Bi 0.500 0.500 0.000

---

6.
! PmThGa2 (GGA-PBE, optimized geometry); values from VASP
! E_tot: -5.04 eV per atom
! space group: P4/mmm (123)
! V: 24.8 Å³/atom
! calculated density: 8.7 g/cm3
! formation energy: -0.484 eV per atom
&SYSTEM
  ibrav = 0, nat = 4, ntyp = 3
/
ATOMIC_SPECIES
Th 232.04 Th.upf
Pm 145.00 Pm.upf
Ga 69.72 Ga.upf
CELL_PARAMETERS angstrom
3.468 0.000 0.000
0.000 3.468 0.000
0.000 0.000 8.243
ATOMIC_POSITIONS crystal
Th 0.500 0.500 0.500
Pm 0.500 0.500 0.000
Ga 0.000 0.000 0.246
Ga 0.000 0.000 0.754

---

7.
! CeHo8Er5 (GGA-PBE, optimized geometry); values from VASP
! E_tot: -4.42 eV per atom
! space group: I-4 (82)
! V: 31.6 Å³/atom
! calculated density: 8.6 g/cm3
! formation energy: 0.252 eV per atom
&SYSTEM
  ibrav = 0, nat = 14, ntyp = 3
/
ATOMIC_SPECIES
Er 167.26 Er.upf
Ce 140.12 Ce.upf
Ho 164.93 Ho.upf
CELL_PARAMETERS angstrom
7.878 0.580 -2.609
-3.960 6.835 -2.609
-0.306 -0.580 8.293
ATOMIC_POSITIONS crystal
Er 0.892 0.288 0.823
Er 0.500 0.500 0.000
Er 0.465 0.069 0.177
Er 0.712 0.535 0.604
Er 0.931 0.108 0.396
Ce 0.250 0.750 0.500
Ho 0.180 0.592 0.754
Ho 0.227 0.331 0.250
Ho 0.080 0.977 0.750
Ho 0.838 0.426 0.246
Ho 0.408 0.162 0.588
Ho 0.023 0.773 0.104
Ho 0.574 0.820 0.412
Ho 0.669 0.920 0.896

---

8.
! NpTl3Sb3S8 (GGA-PBE, optimized geometry); values from VASP
! E_tot: -4.88 eV per atom
! space group: R-3m (166)
! ΔE_f (raw): -0.519 eV per atom
! V: 28.1 Å³/atom
! calculated density: 5.8 g/cm3
&SYSTEM
  ibrav = 0, nat = 15, ntyp = 4
/
ATOMIC_SPECIES
S 32.06 S.upf
Tl 204.38 Tl.upf
Sb 121.76 Sb.upf
Np 237.00 Np.upf
CELL_PARAMETERS angstrom
8.062 0.000 0.000
-4.031 6.982 -0.030
0.000 -4.624 7.511
ATOMIC_POSITIONS crystal
S 0.740 0.968 0.696
S 0.735 0.470 0.704
S 0.228 0.968 0.696
S 0.772 0.545 0.304
S 0.228 0.455 0.696
S 0.260 0.032 0.304
S 0.772 0.032 0.304
S 0.265 0.530 0.296
Tl 0.500 0.500 0.000
Tl 0.000 0.500 0.000
Tl 0.000 0.000 0.000
Sb 0.500 0.000 0.500
Sb 0.500 0.500 0.500
Sb 0.000 0.500 0.500
Np 0.000 0.000 0.500

---

9.
! BaTlSn (GGA-PBE, optimized geometry); values from VASP
! E_tot: -3.21 eV per atom
! space group: P2_1/c (14)
! V: 35.7 Å³/atom
! calculated density: 7.1 g/cm3
! formation energy: -0.446 eV per atom
&SYSTEM
  ibrav = 0, nat = 12, ntyp = 3
/
ATOMIC_SPECIES
Ba 137.33 Ba.upf
Sn 118.71 Sn.upf
Tl 204.38 Tl.upf
CELL_PARAMETERS angstrom
7.050 0.000 0.000
0.000 6.415 -2.551
0.000 0.278 9.364
ATOMIC_POSITIONS crystal
Ba 0.887 0.312 0.126
Ba 0.387 0.688 0.374
Ba 0.613 0.312 0.626
Ba 0.113 0.688 0.874
Sn 0.883 0.689 0.516
Sn 0.383 0.311 0.984
Sn 0.617 0.689 0.016
Sn 0.117 0.311 0.484
Tl 0.052 0.109 0.729
Tl 0.552 0.891 0.771
Tl 0.448 0.109 0.229
Tl 0.948 0.891 0.271

---

10.
! LaYBr2 (GGA-PBE, optimized geometry); values from VASP
! E_tot: -4.62 eV per atom
! space group: Imm2 (44)
! E above lowest polymorph: 0.280 eV per atom
! ΔE_f (raw): -0.940 eV per atom
! V: 29.4 Å³/atom
! calculated density: 5.5 g/cm3
&SYSTEM
  ibrav = 0, nat = 4, ntyp = 3
/
ATOMIC_SPECIES
La 138.91 La.upf
Br 79.90 Br.upf
Y 88.91 Y.upf
CELL_PARAMETERS angstrom
-1.491 -3.026 -6.140
4.412 -3.745 -3.949
-3.313 1.035 6.086
ATOMIC_POSITIONS crystal
La 0.506 0.506 0.000
Br 0.029 0.029 0.000
Br 0.727 0.227 0.500
Y 0.238 0.738 0.500

---

11.
! PmPa2PtN5 (GGA-PBE, optimized geometry); values from VASP
! E_tot: -8.89 eV per atom
! space group: Cmc2_1 (36)
! ΔE_f (raw): -0.960 eV per atom
! V: 14.4 Å³/atom
! calculated density: 11.2 g/cm3
&SYSTEM
  ibrav = 0, nat = 18, ntyp = 4
/
ATOMIC_SPECIES
N 14.01 N.upf
Pa 231.04 Pa.upf
Pm 145.00 Pm.upf
Pt 195.08 Pt.upf
CELL_PARAMETERS angstrom
3.563 0.000 0.000
-1.781 6.552 0.000
0.000 0.000 11.077
ATOMIC_POSITIONS crystal
N 0.380 0.760 0.045
N 0.462 0.925 0.781
N 0.941 0.882 0.599
N 0.337 0.675 0.342
N 0.620 0.240 0.545
N 0.059 0.118 0.099
N 0.272 0.544 0.674
N 0.728 0.456 0.174
N 0.538 0.075 0.281
N 0.663 0.325 0.842
Pa 0.147 0.294 0.270
Pa 0.901 0.802 0.179
Pa 0.853 0.706 0.770
Pa 0.099 0.198 0.679
Pm 0.797 0.593 0.484
Pm 0.203 0.407 0.984
Pt 0.519 0.038 0.951
Pt 0.481 0.962 0.451

---

12.
! CaTc (GGA-PBE, optimized geometry); values from VASP
! E_tot: -4.18 eV per atom
! space group: P6_3/mmc (194)
! E above lowest polymorph: 1.787 eV per atom
! V: 34.4 Å³/atom
! calculated density: 3.3 g/cm3
! formation energy: 2.000 eV per atom
&SYSTEM
  ibrav = 0, nat = 4, ntyp = 2
/
ATOMIC_SPECIES
Tc 98.00 Tc.upf
Ca 40.08 Ca.upf
CELL_PARAMETERS angstrom
5.221 0.000 0.000
-2.610 4.522 0.000
0.000 0.000 5.833
ATOMIC_POSITIONS crystal
Tc 0.333 0.667 0.750
Tc 0.667 0.333 0.250
Ca 0.333 0.667 0.250
Ca 0.667 0.333 0.750

---

13.
! InTe2P (GGA-PBE, optimized geometry); values from VASP
! E_tot: -3.26 eV per atom
! space group: Cmmm (65)
! E above lowest polymorph: 0.319 eV per atom
! ΔE_f (raw): 0.343 eV per atom
! V: 26.9 Å³/atom
! calculated density: 6.2 g/cm3
&SYSTEM
  ibrav = 0, nat = 4, ntyp = 3
/
ATOMIC_SPECIES
P 30.97 P.upf
In 114.82 In.upf
Te 127.60 Te.upf
CELL_PARAMETERS angstrom
-1.508 3.182 0.588
-2.344 -2.692 -0.067
1.075 -1.162 9.053
ATOMIC_POSITIONS crystal
P 0.500 0.500 0.750
In 0.500 0.500 0.250
Te 0.000 0.000 0.544
Te 0.000 0.000 0.956